(1)
The following is a DFT calculation (PBE) of MgTl7 after structural relaxation.

Cell lengths 9.7815, 9.7815, 9.7815 Å; angles 90.00, 90.00, 90.00 degrees
With the nearest neighbours (Å) after each atom.
Space group Fm-3m (No. 225)
Asymmetric unit:
Mg  0.0000  0.0000  0.0000 [4 per cell]  12 Tl 3.46
Tl  0.0000  0.0000  0.5000 [4 per cell]  12 Tl 3.46
Tl  0.0000  0.2500  0.2500 [24 per cell]  10 Tl 3.46, 2 Mg 3.46

## Properties
**Calculated formation energy**: 0.028 eV per atom
**Spin magnetization**: 0.00 μB per atom
**ρ**: 10.3 g/cm3
**Calculated total energy**: -2.242 eV per atom

=====

(2)
The following is a DFT calculation (PBE) of KNiW2 after structural relaxation.

Cell lengths 6.3660, 6.3660, 6.3660 Å; angles 90.00, 90.00, 90.00 degrees
With the nearest neighbours (Å) after each atom.
Space group Fm-3m (No. 225)
Asymmetric unit:
K  0.0000  0.0000  0.0000 [4 per cell]  8 W 2.76
Ni  0.0000  0.0000  0.5000 [4 per cell]  8 W 2.76
W  0.2500  0.2500  0.2500 [8 per cell]  4 Ni 2.76, 4 K 2.76

## Properties
**Calculated formation energy**: 1.972 eV per atom
**Spin magnetization**: 0.00 μB per atom
**ρ**: 12.0 g/cm3
**Calculated total energy**: -6.224 eV per atom

=====

(3)
The following is a DFT calculation (PBE) of GdHoOs after structural relaxation.

Cell lengths 3.3971, 3.3971, 13.2456 Å; angles 90.00, 90.00, 90.00 degrees
With the nearest neighbours (Å) after each atom.
Space group I4mm (No. 107)
Asymmetric unit:
Gd  0.0000  0.0000  0.0000 [2 per cell]  4 Os 2.94
Ho  0.0000  0.0000  0.2512 [2 per cell]  4 Os 2.90
Os  0.0000  0.0000  0.6281 [2 per cell]  4 Ho 2.90, 4 Gd 2.94

## Properties
**Calculated formation energy**: -0.218 eV per atom
**Spin magnetization**: 2.35 μB per atom
**ρ**: 11.1 g/cm3
**Calculated total energy**: -10.180 eV per atom

=====

(4)
The following is a DFT calculation (PBE) of Tb6TlZn2 after structural relaxation.

Cell lengths 9.8026, 9.9016, 10.2815 Å; angles 90.00, 90.00, 90.00 degrees
With the nearest neighbours (Å) after each atom.
Space group Immm (No. 71)
Asymmetric unit:
Tb  0.0000  0.2124  0.1835 [8 per cell]  3 Zn 2.89-3.12
Tb  0.1837  0.2257  0.5000 [8 per cell]  3 Zn 3.14-3.24, 1 Tl 3.26
Tb  0.2072  0.5000  0.2592 [8 per cell]  2 Zn 2.92-3.19, 1 Tl 3.20
Tl  0.0000  0.5000  0.0000 [2 per cell]  8 Tb 3.35-3.42
Tl  0.0000  0.5000  0.5000 [2 per cell]  8 Tb 3.20-3.26, 2 Zn 3.57
Zn  0.0000  0.0000  0.3762 [4 per cell]  1 Zn 2.55
Zn  0.1355  0.0000  0.0000 [4 per cell]  1 Zn 2.66, 2 Tb 2.92

## Properties
**Calculated formation energy**: -0.217 eV per atom
**Spin magnetization**: 0.00 μB per atom
**ρ**: 8.6 g/cm3
**Calculated total energy**: -3.850 eV per atom